# 1
# BaLiAcGa

Crystalline BaLiAcGa at its relaxed geometry (PBE, Alexandria).

magnetic moment = 0.00 μB/f.u.
DFT formation energy = -0.14 eV/atom

```
4
Lattice="0.000 4.056 4.056 4.056 0.000 4.056 4.056 4.056 0.000" Properties=species:S:1:pos:R:3 pbc="T T T"
Ba 0.000 0.000 0.000
Li 2.028 2.028 2.028
Ac 4.056 4.056 4.056
Ga 6.084 6.084 6.084
```

# 2
# CeGd2Ho

Crystalline CeGd2Ho at its relaxed geometry (PBE, Alexandria).

E above lowest polymorph = 13 meV/atom
magnetic moment = 13.83 μB/f.u.
DFT formation energy = 0.08 eV/atom

```
4
Lattice="4.993 0.000 0.000 0.000 4.993 0.000 0.000 0.000 5.040" Properties=species:S:1:pos:R:3 pbc="T T T"
Ce 0.000 0.000 0.000
Gd 0.000 2.496 2.520
Gd 2.496 0.000 2.520
Ho 2.496 2.496 0.000
```

# 3
# ZrZnHRh2

Crystalline ZrZnHRh2 at its relaxed geometry (PBE, Alexandria).

E above lowest polymorph = 67 meV/atom
magnetic moment = 0.00 μB/f.u.

```
5
Lattice="4.162 0.000 0.000 0.000 4.162 0.000 0.000 0.000 3.788" Properties=species:S:1:pos:R:3 pbc="T T T"
Zr 0.000 0.000 0.000
Zn 2.081 2.081 0.000
H 2.081 2.081 1.894
Rh 0.000 2.081 1.894
Rh 2.081 0.000 1.894
```